# YTc3Hg (PBE, relaxed)
# E_form in kJ/mol of atoms: 184.5
# Symmetry: No. 221
# DOS(E_F) in states/eV/cell: 8.64
# Relative energy among the computed polymorphs in meV per atom: 0
# Spin magnetization in μB/cell: 7.0
data_YTc3Hg
_chemical_formula_sum 'Y1 Tc3 Hg1'
_cell_length_a 5.009
_cell_length_b 5.009
_cell_length_c 5.009
_cell_angle_alpha 90.00
_cell_angle_beta 90.00
_cell_angle_gamma 90.00
_symmetry_space_group_name_H-M 'P 1'
_symmetry_Int_Tables_number 1
loop_
_symmetry_equiv_pos_as_xyz
'x,y,z'
loop_
_atom_site_label
_atom_site_type_symbol
_atom_site_fract_x
_atom_site_fract_y
_atom_site_fract_z
_atom_site_occupancy
Y1 Y 0.000 0.000 0.000 1
Tc1 Tc 0.000 0.500 0.500 1
Tc2 Tc 0.500 0.000 0.500 1
Tc3 Tc 0.500 0.500 0.000 1
Hg1 Hg 0.500 0.500 0.500 1